This record from the Alexandria database describes CrFeBi2 after structural relaxation. The functional is PBE.

Structure (CIF):
```
data_CrFeBi2
_symmetry_space_group_name_H-M 'I -4 2 d'
_symmetry_Int_Tables_number 122
_symmetry_space_group_name_Hall 'I -4 2bw'
_cell_length_a 7.638
_cell_length_b 7.638
_cell_length_c 6.527
_cell_angle_alpha 90.00
_cell_angle_beta 90.00
_cell_angle_gamma 90.00
loop_
_atom_site_label
_atom_site_type_symbol
_atom_site_fract_x
_atom_site_fract_y
_atom_site_fract_z
Cr1 Cr 0.000 0.000 0.000
Fe1 Fe 0.000 0.000 0.500
Bi1 Bi 0.233 0.250 0.625
```

Properties
- total DFT energy (no corrections) (eV per cell) = -92.0
- formation energy from the elements (eV/atom) = 0.713
- Fermi-level density of states (states/eV/cell) = 25.27
- V (A^3/atom) = 23.798